First-principles (meta-GGA SCAN) data for SrTcOs2 at its PBEsol-relaxed geometry, as listed in the Alexandria database.

POSCAR file:
```
SrTcOs2
1.0
6.4400 0.0000 0.0000
0.0000 6.4400 0.0000
0.0000 0.0000 6.4400
Sr Tc Os
4 4 8
Cartesian
0.0000 0.0000 0.0000
0.0000 3.2200 3.2200
3.2200 0.0000 3.2200
3.2200 3.2200 0.0000
0.0000 0.0000 3.2200
0.0000 3.2200 0.0000
3.2200 0.0000 0.0000
3.2200 3.2200 3.2200
1.6100 1.6100 1.6100
1.6100 1.6100 4.8300
1.6100 4.8300 1.6100
1.6100 4.8300 4.8300
4.8300 1.6100 1.6100
4.8300 1.6100 4.8300
4.8300 4.8300 1.6100
4.8300 4.8300 4.8300
```

Output
The formation enthalpy at 0 K comes out at 1.151 eV/atom. For the density of states at the Fermi level, the calculation gives 0.970 states/eV per atom. The energy above the most stable polymorph in this dataset is 0.2402 eV/atom.

---

First-principles (meta-GGA SCAN) data for Li5V3Cr2O10 at its PBEsol-relaxed geometry, as listed in the Alexandria database.

POSCAR file:
```
Li5V3Cr2O10
1.0
4.8849 0.0000 0.0000
-0.8694 4.9705 0.0000
-2.3616 -2.0604 6.7948
Li V Cr O
5 3 2 10
Cartesian
0.0000 0.0000 0.0000
-1.6038 0.5945 6.2116
0.8049 1.8196 1.8175
0.8490 1.0905 4.9772
3.2577 2.3156 0.5832
-1.6155 1.4551 3.3974
-0.6468 4.1328 2.7377
2.3007 -1.2227 4.0571
-0.7523 3.3201 5.4096
2.4061 -0.4100 1.3851
-0.7849 0.6141 1.7913
-0.8394 -0.1680 4.3606
-0.0001 3.4208 1.0845
-0.0033 2.4738 3.7129
1.7242 1.0204 0.3012
-0.0703 1.8897 6.4936
1.6571 0.4363 3.0819
1.6540 -0.5107 5.7103
2.4933 3.0781 2.4342
2.4388 2.2960 5.0035
```

Output
The value obtained for the uncorrected formation energy is -2478 meV/atom.

---

First-principles (meta-GGA SCAN) data for ReNiRu2 at its PBEsol-relaxed geometry, as listed in the Alexandria database.

POSCAR file:
```
ReNiRu2
1.0
8.7626 0.0000 0.0000
0.0000 2.6542 0.0000
-0.7718 0.0000 4.4905
Re Ni Ru
2 2 4
Cartesian
0.0000 0.0000 0.0000
4.3813 1.3271 0.0000
1.9920 1.3271 1.0884
6.3733 0.0000 1.0884
-0.3733 1.3271 2.2225
1.5972 0.0000 3.3260
4.0080 0.0000 2.2225
5.9785 1.3271 3.3260
```

Output
The formation enthalpy at 0 K comes out at 0.124 eV/atom. For the density of states at the Fermi level, the calculation gives 0.924 states/eV per atom.

---

First-principles (meta-GGA SCAN) data for ZrHgW at its PBEsol-relaxed geometry, as listed in the Alexandria database.

POSCAR file:
```
ZrHgW
1.0
3.5317 0.0000 0.0000
0.0000 4.5173 0.0000
0.0000 0.0000 13.9903
Zr Hg W
4 4 4
Cartesian
0.0000 0.0000 0.0000
0.0000 2.2587 6.9952
1.7659 0.0000 6.9952
1.7659 2.2587 0.0000
0.0000 0.0000 9.4673
0.0000 2.2587 2.4722
1.7659 0.0000 2.4722
1.7659 2.2587 9.4673
0.0000 0.0000 4.7809
0.0000 2.2587 11.7760
1.7659 0.0000 11.7760
1.7659 2.2587 4.7809
```

Output
The formation enthalpy at 0 K comes out at 0.263 eV/atom. For the density of states at the Fermi level, the calculation gives 0.553 states/eV per atom. The energy above the most stable polymorph in this dataset is 0.0000 eV/atom.

---

First-principles (meta-GGA SCAN) data for SrInOs2 at its PBEsol-relaxed geometry, as listed in the Alexandria database.

POSCAR file:
```
SrInOs2
1.0
5.1284 0.0000 0.0000
0.0000 2.8547 0.0000
-2.0286 0.0000 4.9765
Sr In Os
1 1 2
Cartesian
0.0000 0.0000 0.0000
-1.0143 1.4274 2.4882
1.5499 0.0000 2.4882
2.5642 1.4274 0.0000
```

Output
The formation enthalpy at 0 K comes out at 0.969 eV/atom. For the density of states at the Fermi level, the calculation gives 0.896 states/eV per atom.

---

First-principles (meta-GGA SCAN) data for Sr2TlCr at its PBEsol-relaxed geometry, as listed in the Alexandria database.

POSCAR file:
```
Sr2TlCr
1.0
3.8300 0.0000 0.0000
0.0000 3.8300 0.0000
0.0000 0.0000 8.8805
Sr Tl Cr
2 1 1
Cartesian
0.0000 0.0000 0.0000
1.9150 1.9150 3.3732
0.0000 0.0000 5.5196
1.9150 1.9150 6.6901
```

Output
The formation enthalpy at 0 K comes out at -0.002 eV/atom. For the density of states at the Fermi level, the calculation gives 0.559 states/eV per atom.

---

First-principles (meta-GGA SCAN) data for KSrMg2 at its PBEsol-relaxed geometry, as listed in the Alexandria database.

POSCAR file:
```
KSrMg2
1.0
3.8817 0.0000 0.0000
-1.9408 3.3616 0.0000
0.0000 0.0000 35.7842
K Sr Mg
3 3 6
Cartesian
0.0000 0.0000 0.0000
0.0000 2.2411 23.8562
1.9408 1.1205 11.9281
0.0000 0.0000 17.8921
0.0000 2.2411 5.9640
1.9408 1.1205 29.8202
0.0000 0.0000 8.7811
0.0000 0.0000 27.0031
0.0000 2.2411 15.0750
0.0000 2.2411 32.6373
1.9408 1.1205 3.1469
1.9408 1.1205 20.7092
```

Output
The formation enthalpy at 0 K comes out at 0.249 eV/atom. For the density of states at the Fermi level, the calculation gives 0.885 states/eV per atom. The energy above the most stable polymorph in this dataset is 0.0837 eV/atom.

---

First-principles (meta-GGA SCAN) data for Sc5Be at its PBEsol-relaxed geometry, as listed in the Alexandria database.

POSCAR file:
```
Sc5Be
1.0
10.9796 0.0000 0.0000
0.0000 3.2607 0.0000
-3.0159 0.0000 7.0339
Sc Be
10 2
Cartesian
0.0000 0.0000 0.0000
0.3937 1.6304 2.5740
-0.5491 1.6304 5.5446
3.0230 0.0000 1.4893
2.0802 0.0000 4.4599
5.4898 1.6304 0.0000
5.8834 0.0000 2.5740
4.9407 0.0000 5.5446
8.5128 1.6304 1.4893
7.5700 1.6304 4.4599
-1.5079 0.0000 3.5169
3.9818 1.6304 3.5169
```

Output
The formation enthalpy at 0 K comes out at 0.032 eV/atom. For the density of states at the Fermi level, the calculation gives 1.241 states/eV per atom. The energy above the most stable polymorph in this dataset is 0.0022 eV/atom.

---

First-principles (meta-GGA SCAN) data for LaCr2Ni at its PBEsol-relaxed geometry, as listed in the Alexandria database.

POSCAR file:
```
LaCr2Ni
1.0
4.3019 0.0000 0.0000
0.0000 4.3019 0.0000
0.0000 0.0000 7.0911
La Cr Ni
2 4 2
Cartesian
0.0000 0.0000 0.0000
2.1510 2.1510 3.5456
0.0000 2.1510 1.7728
0.0000 2.1510 5.3183
2.1510 0.0000 1.7728
2.1510 0.0000 5.3183
0.0000 0.0000 3.5456
2.1510 2.1510 0.0000
```

Output
The formation enthalpy at 0 K comes out at 0.500 eV/atom. For the density of states at the Fermi level, the calculation gives 0.737 states/eV per atom.

---

First-principles (meta-GGA SCAN) data for TaMo at its PBEsol-relaxed geometry, as listed in the Alexandria database.

POSCAR file:
```
TaMo
1.0
3.1894 0.0000 0.0000
0.0000 4.4728 0.0000
0.0000 0.0000 18.2925
Ta Mo
8 8
Cartesian
0.0000 1.1182 1.0949
0.0000 1.1182 5.7198
0.0000 3.3546 12.5727
0.0000 3.3546 17.1976
1.5947 1.1182 3.4264
1.5947 1.1182 8.0514
1.5947 3.3546 10.2411
1.5947 3.3546 14.8661
0.0000 1.1182 10.3308
0.0000 1.1182 14.8720
0.0000 3.3546 3.4205
0.0000 3.3546 7.9617
1.5947 1.1182 12.5668
1.5947 1.1182 17.1079
1.5947 3.3546 1.1846
1.5947 3.3546 5.7257
```

Output
The formation enthalpy at 0 K comes out at -0.155 eV/atom. For the density of states at the Fermi level, the calculation gives 0.675 states/eV per atom.

---

First-principles (meta-GGA SCAN) data for Ca7Si6H4CO23 at its PBEsol-relaxed geometry, as listed in the Alexandria database.

POSCAR file:
```
Ca7Si6H4CO23
1.0
5.5005 -7.5511 0.0000
5.5005 7.5511 0.0000
-2.8475 0.0000 5.9656
Ca Si H C O
7 6 4 1 23
Cartesian
0.0000 0.0000 0.0000
1.1378 2.2078 2.8656
2.8248 3.7770 5.7986
1.1378 -2.2078 2.8656
7.5517 2.0284 2.7366
2.8248 -3.7770 5.7986
7.5517 -2.0284 2.7366
2.9895 1.5812 0.1950
4.2748 2.6528 2.8328
2.9895 -1.5812 0.1950
5.4906 1.5873 5.4078
4.2748 -2.6528 2.8328
5.4906 -1.5873 5.4078
1.5042 0.0000 4.4878
2.9266 0.0000 3.6812
5.3506 0.0000 1.8354
6.7396 0.0000 1.0035
9.6678 0.0000 2.7221
1.4086 1.8321 0.4585
4.6288 6.4299 2.2811
0.9564 2.4912 5.1258
3.0588 3.5696 3.3962
1.4086 -1.8321 0.4585
0.3515 0.0000 5.6359
3.6762 1.6201 1.6959
1.9453 0.0000 3.5725
5.5829 3.4144 2.2688
0.9564 -2.4912 5.1258
4.6744 1.5383 3.9782
3.6762 -1.6201 1.6959
7.5559 2.4991 0.4980
6.3329 0.0000 1.9123
3.0588 -3.5696 3.3962
4.6744 -1.5383 3.9782
7.0461 1.8997 5.0821
8.2790 0.0000 0.0158
5.5829 -3.4144 2.2688
7.5559 -2.4991 0.4980
8.6622 0.0000 3.5439
4.6288 -6.4299 2.2811
7.0461 -1.8997 5.0821
```

Output
For the density of states at the Fermi level, the calculation gives 0.000 states/eV per atom. For the total energy, the calculation gives -10.055 eV/atom.

---

Repeat the ninth record exactly.
First-principles (meta-GGA SCAN) data for LaCr2Ni at its PBEsol-relaxed geometry, as listed in the Alexandria database.

POSCAR file:
```
LaCr2Ni
1.0
4.3019 0.0000 0.0000
0.0000 4.3019 0.0000
0.0000 0.0000 7.0911
La Cr Ni
2 4 2
Cartesian
0.0000 0.0000 0.0000
2.1510 2.1510 3.5456
0.0000 2.1510 1.7728
0.0000 2.1510 5.3183
2.1510 0.0000 1.7728
2.1510 0.0000 5.3183
0.0000 0.0000 3.5456
2.1510 2.1510 0.0000
```

Output
The formation enthalpy at 0 K comes out at 0.500 eV/atom. For the density of states at the Fermi level, the calculation gives 0.737 states/eV per atom.